The following is a GGA-PBE calculation of a relaxed DyAgTe2 crystal, from the Alexandria database.

Properties
**Energy relative to the elements, uncorrected**: -3.29 eV/f.u.
**Crystal system**: trigonal

Cell lengths 4.5197, 4.5197, 25.8318 Å; angles 90.00, 90.00, 120.00 degrees
Space group R-3m (No. 166, hexagonal axes)
Asymmetric unit:
Dy 0.0000 0.0000 0.0000 [3 per cell]
Ag 0.0000 0.0000 0.5000 [3 per cell]
Te 0.0000 0.0000 0.3976 [6 per cell]

---

The following is a GGA-PBE calculation of a relaxed Dy5AgTe5 crystal, from the Alexandria database.

Properties
**Energy relative to the elements, uncorrected**: -12.40 eV/f.u.
**Crystal system**: monoclinic
**DOS at the Fermi energy**: 17.73 states/eV per cell

Cell lengths 13.661, 6.158, 8.623 Å; angles 90.00, 108.66, 90.00 degrees
Space group C2/m (No. 12)
Asymmetric unit:
Dy 0.000 0.000 0.000 [2 per cell]
Dy 0.163 0.500 0.331 [4 per cell]
Dy 0.163 0.500 0.835 [4 per cell]
Ag 0.000 0.500 0.000 [2 per cell]
Te 0.000 0.500 0.500 [2 per cell]
Te 0.164 0.000 0.827 [4 per cell]
Te 0.170 0.000 0.336 [4 per cell]

---

The following is a GGA-PBE calculation of a relaxed DyAgTe2 crystal, from the Alexandria database.

Properties
**Energy relative to the elements, uncorrected**: -2.82 eV/f.u.
**Crystal system**: trigonal

Cell lengths 4.7553, 4.7553, 23.1604 Å; angles 90.00, 90.00, 120.00 degrees
Space group R3m (No. 160, hexagonal axes)
Asymmetric unit:
Dy 0.0000 0.0000 0.0000 [3 per cell]
Ag 0.0000 0.0000 0.5598 [3 per cell]
Te 0.0000 0.0000 0.3857 [3 per cell]
Te 0.0000 0.0000 0.8752 [3 per cell]

---

The following is a GGA-PBE calculation of a relaxed Dy5AgTe8 crystal, from the Alexandria database.

Properties
**Energy relative to the elements, uncorrected**: -16.86 eV/f.u.
**Crystal system**: cubic

Cell lengths 12.704, 12.704, 12.704 Å; angles 90.00, 90.00, 90.00 degrees
Space group F-43m (No. 216)
Asymmetric unit:
Dy 0.000 0.000 0.000 [4 per cell]
Dy 0.119 0.119 0.619 [16 per cell]
Ag 0.250 0.250 0.250 [4 per cell]
Te 0.121 0.121 0.379 [16 per cell]
Te 0.134 0.134 0.866 [16 per cell]